Computed, not measured: Fe3PtO after structural relaxation at the GGA+U level of DFT.

Cell: 4.9105 4.9105 4.9105 Å, 90.00 90.00 90.00°
With the nearest neighbours (Å) after each atom.
Atoms (fractional coordinates):
1 Fe 0.0000 0.0000 0.5000  2 Pt 2.46
2 Fe 0.0000 0.5000 0.0000  2 Pt 2.46
3 Fe 0.5000 0.0000 0.0000  2 Pt 2.46
4 Pt 0.0000 0.0000 0.0000  6 Fe 2.46
5 O 0.5000 0.5000 0.5000  12 Fe 3.47

Properties
- Volume: 23.7 Å³/atom
- Excess energy over the best structure of this formula in the dataset: 1311 meV per atom
- Density of states at the Fermi level: 3.78 states/eV per cell
- Symmetry: Pm-3m (221)


Computed, not measured: RbAc2WO6 after structural relaxation at the GGA+U level of DFT.

Cell: 6.2144 6.2368 6.5338 Å, 61.54 62.57 60.18°
With the nearest neighbours (Å) after each atom.
Atoms (fractional coordinates):
1 Rb 0.0000 0.0000 0.0000  3 O 2.68-2.71
2 Ac 0.2274 0.2203 0.3197  5 O 2.39-2.62
3 Ac 0.7404 0.7454 0.7755  6 O 2.48-2.60
4 W 0.5345 0.5386 0.3868  6 O 1.96-2.09
5 O 0.1853 0.7596 0.5729  1 W 2.07
6 O 0.3928 0.5728 0.1479  1 W 2.00
7 O 0.4630 0.1907 0.5759  1 W 2.08
8 O 0.5717 0.8920 0.1387  1 W 2.07
9 O 0.7475 0.4711 0.5718  1 W 1.96
10 O 0.8884 0.3903 0.1437  1 W 2.09

Properties
- Volume: 18.5 Å³/atom
- Density of states at the Fermi level: 0.00 states/eV per cell
- Total DFT energy (no corrections): -72.499 eV per cell
- Symmetry: P1 (1)